The following is a DFT calculation (PBE-GGA) of crystalline LiPrMg3 at its relaxed geometry.

Cell: 4.980 4.980 4.980 Å, 90.00 90.00 90.00°
Atoms (fractional coordinates):
Li (0.000, 0.000, 0.000)
Pr (0.500, 0.500, 0.500)
Mg (0.000, 0.000, 0.500)
Mg (0.000, 0.500, 0.000)
Mg (0.500, 0.000, 0.000)

ΔE_f = 46 meV/atom
DOS at the Fermi energy = 3.4 states/eV per cell
total moment = 0.00 μB/f.u.
energy above the most stable polymorph in this dataset = 0 meV/atom